(1)
Material: KSmZnF6
Method: DFT, PBE
State: optimized geometry

E (eV per atom): -5.222
Density of states at the Fermi level (states/eV/f.u.): 0.000
Formation energy from raw total energies (eV/atom): -3.19

abc: 5.8779 5.8779 10.8643
angles: 90.00 90.00 120.00
Space group P-31c (No. 163)
Unique sites:
1 K 0.0000 0.0000 0.0000
2 Sm 0.3333 0.6667 0.2500
3 Zn 0.3333 0.6667 0.7500
4 F 0.0230 0.3856 0.6454


(2)
Material: KSnF2
Method: DFT, PBE
State: optimized geometry

E (eV per atom): -4.346
Density of states at the Fermi level (states/eV/f.u.): 0.485
Formation energy from raw total energies (eV/atom): -2.14

abc: 3.5877 3.5877 22.9236
angles: 90.00 90.00 120.00
Space group R-3m (No. 166, hexagonal axes)
Unique sites:
1 K 0.0000 0.0000 0.0000
2 Sn 0.0000 0.0000 0.5000
3 F 0.0000 0.0000 0.4023


(3)
Material: K3SnF7
Method: DFT, PBE
State: optimized geometry

E (eV per atom): -4.575
Density of states at the Fermi level (states/eV/f.u.): 0.000
Formation energy from raw total energies (eV/atom): -2.72

abc: 8.766 8.531 6.657
angles: 90.00 127.40 90.00
Space group Cm (No. 8)
Unique sites:
1 K 0.000 0.000 0.000
2 K 0.498 0.236 0.553
3 Sn 0.040 0.500 0.102
4 F 0.109 0.270 0.242
5 F 0.193 0.500 0.966
6 F 0.312 0.500 0.475
7 F 0.350 0.149 0.802
8 F 0.376 0.000 0.224


(4)
Material: K2SnF
Method: DFT, PBE
State: optimized geometry

E (eV per atom): -3.205
Density of states at the Fermi level (states/eV/f.u.): 2.000
Formation energy from raw total energies (eV/atom): -1.19

abc: 3.6743 3.6743 30.2429
angles: 90.00 90.00 120.00
Space group R-3m (No. 166, hexagonal axes)
Unique sites:
1 K 0.0000 0.0000 0.1127
2 Sn 0.0000 0.0000 0.0000
3 F 0.0000 0.0000 0.5000


(5)
Material: K2SnF2
Method: DFT, PBE
State: optimized geometry

E (eV per atom): -3.541
Density of states at the Fermi level (states/eV/f.u.): 2.610
Formation energy from raw total energies (eV/atom): -1.55

abc: 4.619 4.619 12.983
angles: 90.00 90.00 90.00
Space group I4/mmm (No. 139)
Unique sites:
1 K 0.000 0.000 0.172
2 Sn 0.000 0.000 0.500
3 F 0.000 0.500 0.250


(6)
Material: K2SnF4
Method: DFT, PBE
State: optimized geometry

E (eV per atom): -4.517
Density of states at the Fermi level (states/eV/f.u.): 0.000
Formation energy from raw total energies (eV/atom): -2.56

abc: 12.340 13.982 7.070
angles: 90.00 90.00 90.00
Space group Fdd2 (No. 43)
Unique sites:
1 K 0.050 0.270 0.000
2 Sn 0.000 0.000 0.222
3 F 0.090 0.142 0.265
4 F 0.108 0.450 0.944